1.
First-principles (PBE-GGA) data for a relaxed CePrHo6 crystal, as listed in Alexandria.

Calculated values
The electronic total energy comes out at -37.8 eV for the cell shown. The density of states at the Fermi level comes out at 12.21 states/eV per cell. The excess energy over the best structure of this formula in the dataset is 0 meV per atom. The value obtained for the energy of formation from the pure elements is 0.045 eV/atom.

Cell lengths 5.016, 5.016, 10.024 Å; angles 90.00, 90.00, 90.00 degrees
Space group P4/mmm (No. 123)
One atom of each set of equivalent atoms:
Ce1 0.000 0.000 0.000
Pr1 0.000 0.000 0.500
Ho1 0.000 0.500 0.246
Ho2 0.500 0.500 0.000
Ho3 0.500 0.500 0.500

2.
First-principles (PBE-GGA) data for a relaxed Cs2BiPdI6 crystal, as listed in Alexandria.

Calculated values
The electronic total energy comes out at -167.5 eV for the cell shown. The density of states at the Fermi level comes out at 31.29 states/eV per cell. The excess energy over the best structure of this formula in the dataset is 20 meV per atom. The calculation puts the uncorrected formation energy at -0.784 eV per atom.

Cell lengths 8.4704, 8.4704, 42.9394 Å; angles 90.00, 90.00, 120.00 degrees
Space group R-3m (No. 166, hexagonal axes)
One atom of each set of equivalent atoms:
Cs1 0.0000 0.0000 0.1209
Cs2 0.0000 0.0000 0.2964
Bi1 0.0000 0.0000 0.4133
Pd1 0.0000 0.0000 0.0000
Pd2 0.0000 0.0000 0.5000
I1 0.0054 0.5027 0.1278
I2 0.0148 0.5074 0.7069

3.
First-principles (PBE-GGA) data for a relaxed HfAgCl6 crystal, as listed in Alexandria.

Calculated values
The electronic total energy comes out at -33.6 eV for the cell shown. The density of states at the Fermi level comes out at 3.38 states/eV per cell. The excess energy over the best structure of this formula in the dataset is 26 meV per atom. The calculation puts the uncorrected formation energy at -1.211 eV per atom.

Cell lengths 6.166, 6.753, 6.785 Å; angles 116.27, 116.55, 90.20 degrees
Space group P-1 (No. 2)
One atom of each set of equivalent atoms:
Hf1 0.000 0.000 0.000
Ag1 0.500 0.500 0.000
Cl1 0.043 0.210 0.413
Cl2 0.256 0.765 0.160
Cl3 0.397 0.267 0.164